Record 1
DFT (PBE) results for a geometry-optimized ZrSiRh4 structure.

a = 5.1406 Å, b = 5.1406 Å, c = 5.1406 Å
α = 60.00°, β = 60.00°, γ = 60.00°
Closest atoms and distances in Å follow each position.
Sites, in units of the cell vectors:
Zr (0.0000, 0.0000, 0.0000)  12 Rh 3.02, 4 Si 3.15
Si (0.7500, 0.7500, 0.7500)  12 Rh 3.01, 4 Zr 3.15
Rh (0.8726, 0.3758, 0.3758)  6 Rh 2.55-2.59
Rh (0.3758, 0.3758, 0.8726)  6 Rh 2.55-2.59
Rh (0.3758, 0.8726, 0.3758)  6 Rh 2.55-2.59
Rh (0.3758, 0.3758, 0.3758)  6 Rh 2.55-2.59

- Crystal system: cubic
- Space group: F-43m
- Formation energy (no corrections): -0.264 eV/atom

Record 2
DFT (PBE) results for a geometry-optimized Tm8Ru5Au structure.

a = 7.3400 Å, b = 7.3400 Å, c = 7.3400 Å
α = 109.14°, β = 110.13°, γ = 109.14°
Closest atoms and distances in Å follow each position.
Sites, in units of the cell vectors:
Tm (0.1301, 0.7598, 0.0228)  4 Ru 2.74-3.03, 1 Au 2.87
Tm (0.9772, 0.1073, 0.7370)  4 Ru 2.74-3.03, 1 Au 2.87
Tm (0.7414, 0.2434, 0.3539)  4 Ru 2.77-2.95
Tm (0.6461, 0.3875, 0.8895)  4 Ru 2.77-2.95
Tm (0.5020, 0.6125, 0.2586)  4 Ru 2.77-2.95
Tm (0.6297, 0.8927, 0.8699)  4 Ru 2.74-3.03, 1 Au 2.87
Tm (0.2630, 0.2402, 0.3703)  4 Ru 2.74-3.03, 1 Au 2.87
Tm (0.1105, 0.7566, 0.4980)  4 Ru 2.77-2.95
Ru (0.0301, 0.3909, 0.1378)  6 Tm 2.74-3.03
Ru (0.8622, 0.8922, 0.2530)  6 Tm 2.74-3.03
Ru (0.7470, 0.6091, 0.6392)  6 Tm 2.74-3.03
Ru (0.5000, 0.0000, 0.5000)  8 Tm 2.82-3.00
Ru (0.3608, 0.1078, 0.9699)  6 Tm 2.74-3.03
Au (0.2500, 0.5000, 0.7500)  8 Tm 2.87-3.20

- Crystal system: tetragonal
- Space group: I-4

Record 3
DFT (PBE) results for a geometry-optimized TmGaSn structure.

a = 5.6381 Å, b = 6.0805 Å, c = 4.9713 Å
α = 90.00°, β = 124.55°, γ = 90.00°
Closest atoms and distances in Å follow each position.
Sites, in units of the cell vectors:
Tm (0.6611, 0.7500, 0.8223)  5 Ga 2.91-3.06, 2 Sn 3.16
Tm (0.3389, 0.2500, 0.1777)  5 Ga 2.91-3.06, 2 Sn 3.16
Ga (0.3063, 0.7500, 0.1125)  5 Tm 2.91-3.06, 2 Sn 2.93
Ga (0.6937, 0.2500, 0.8875)  5 Tm 2.91-3.06, 2 Sn 2.93
Sn (0.0000, 0.5000, 0.5000)  2 Ga 2.93, 2 Sn 3.04, 2 Tm 3.16
Sn (0.0000, 0.0000, 0.5000)  2 Ga 2.93, 2 Sn 3.04, 2 Tm 3.16

- Crystal system: orthorhombic
- Space group: Cmcm

Record 4
DFT (PBE) results for a geometry-optimized TaMn2Tl2Se6 structure.

a = 6.5187 Å, b = 6.5187 Å, c = 8.1160 Å
α = 97.80°, β = 97.80°, γ = 119.42°
Closest atoms and distances in Å follow each position.
Sites, in units of the cell vectors:
Ta (0.0000, 0.0000, 0.5000)  6 Se 2.60-2.63
Mn (0.3300, 0.6700, 0.5000)  6 Se 2.61-2.66
Mn (0.6700, 0.3300, 0.5000)  6 Se 2.61-2.66
Tl (0.8367, 0.1633, 0.0000)  6 Se 3.26-3.31
Tl (0.1633, 0.8367, 0.0000)  6 Se 3.26-3.31
Se (0.7278, 0.7278, 0.6854)  1 Ta 2.63, 2 Mn 2.64
Se (0.0614, 0.3898, 0.6888)  1 Ta 2.60, 2 Mn 2.61-2.66
Se (0.2722, 0.2722, 0.3146)  1 Ta 2.63, 2 Mn 2.64
Se (0.3898, 0.0614, 0.6888)  1 Ta 2.60, 2 Mn 2.61-2.66
Se (0.9386, 0.6102, 0.3112)  1 Ta 2.60, 2 Mn 2.61-2.66
Se (0.6102, 0.9386, 0.3112)  1 Ta 2.60, 2 Mn 2.61-2.66

- Crystal system: monoclinic
- Space group: C2/m
- Formation energy (no corrections): -0.505 eV/atom

Record 5
DFT (PBE) results for a geometry-optimized LiMnAs structure.

a = 7.8839 Å, b = 4.5061 Å, c = 3.1748 Å
α = 90.00°, β = 90.00°, γ = 90.00°
Closest atoms and distances in Å follow each position.
Sites, in units of the cell vectors:
As (0.2500, 0.5000, 0.0001)  4 Mn 2.53, 4 Li 2.75-2.76
As (0.7500, 0.5000, 0.9999)  4 Mn 2.53, 4 Li 2.75-2.76
Mn (0.0000, 0.5000, 0.5000)  4 As 2.53
Mn (0.5000, 0.5000, 0.5000)  4 As 2.53
Li (0.2500, 0.0000, 0.5008)  4 As 2.75-2.76, 4 Mn 2.99
Li (0.7500, 0.0000, 0.4992)  4 As 2.75-2.76, 4 Mn 2.99

- Crystal system: orthorhombic
- Space group: Pmmm
- Distance to the lowest polymorph of the same formula: 0.351 eV/atom

Record 6
DFT (PBE) results for a geometry-optimized Ga2Ag2Se structure.

a = 8.2767 Å, b = 8.2767 Å, c = 2.8452 Å
α = 90.00°, β = 90.00°, γ = 90.00°
Closest atoms and distances in Å follow each position.
Sites, in units of the cell vectors:
Ga (0.3134, 0.8134, 0.0000)  6 Ag 2.71-2.94, 2 Ga 2.85, 2 Se 3.02
Ga (0.8134, 0.6866, 0.0000)  6 Ag 2.71-2.94, 2 Ga 2.85, 2 Se 3.02
Ga (0.6866, 0.1866, 0.0000)  6 Ag 2.71-2.94, 2 Ga 2.85, 2 Se 3.02
Ga (0.1866, 0.3134, 0.0000)  6 Ag 2.71-2.94, 2 Ga 2.85, 2 Se 3.02
Se (0.0000, 0.0000, 0.0000)  2 Se 2.85, 4 Ga 3.02
Se (0.5000, 0.5000, 0.0000)  2 Se 2.85, 4 Ga 3.02
Ag (0.1165, 0.6165, 0.5000)  6 Ga 2.71-2.94, 3 Ag 2.73-2.85
Ag (0.6165, 0.8835, 0.5000)  6 Ga 2.71-2.94, 3 Ag 2.73-2.85
Ag (0.8835, 0.3835, 0.5000)  6 Ga 2.71-2.94, 3 Ag 2.73-2.85
Ag (0.3835, 0.1165, 0.5000)  6 Ga 2.71-2.94, 3 Ag 2.73-2.85

- Crystal system: tetragonal
- Space group: P4/mbm
- Distance to the lowest polymorph of the same formula: 0.012 eV/atom
- Formation energy (no corrections): 0.056 eV/atom

Number 1: DFT total energy -45.0 eV/cell, calculated density 9.18 g/cm3. Number 2: DFT total energy -90.5 eV/cell, calculated density 11.20 g/cm3. Number 3: DFT total energy -25.3 eV/cell, calculated density 8.45 g/cm3. Number 4: DFT total energy -61.4 eV/cell, calculated density 6.73 g/cm3. Number 5: DFT total energy -32.1 eV/cell, calculated density 4.03 g/cm3. Number 6: DFT total energy -29.9 eV/cell, calculated density 7.40 g/cm3.